# 1
VASP calculation (PBE-GGA) on Hf2AlFe after structural relaxation.

Calculated values
- total moment (μB/atom) = 0.193
- symmetry = No. 216
- final energy (eV per atom) = -7.94

abc: 4.558 4.558 4.558
angles: 60.00 60.00 60.00
Site moments in Bohr magnetons follow the coordinates.
Atoms (fractional coordinates):
Hf 0.750 0.750 0.750  0.18
Hf 0.000 0.000 0.000  -0.04
Al 0.500 0.500 0.500  0.00
Fe 0.250 0.250 0.250  0.62

# 2
VASP calculation (PBE-GGA) on Nd2Os2O5 after structural relaxation.

Calculated values
- total moment (μB/atom) = 0.130
- symmetry = No. 123
- final energy (eV per atom) = -7.49

abc: 9.752 3.579 3.579
angles: 90.00 90.00 90.00
Site moments in Bohr magnetons follow the coordinates.
Atoms (fractional coordinates):
O 0.500 0.500 0.500  0.02
O 0.118 0.000 0.500  0.00
O 0.118 0.500 0.000  -0.01
O 0.882 0.000 0.500  0.00
O 0.882 0.500 0.000  -0.01
Nd 0.734 0.500 0.500  -0.02
Nd 0.266 0.500 0.500  -0.02
Os 0.000 0.000 0.000  -0.06
Os 0.500 0.000 0.000  1.20

# 3
VASP calculation (PBE-GGA) on MgTaCuPd after structural relaxation.

Calculated values
- total moment (μB/atom) = 0.000
- symmetry = No. 216
- final energy (eV per atom) = -5.72

abc: 4.467 4.467 4.467
angles: 60.00 60.00 60.00
Atoms (fractional coordinates):
Cu 0.750 0.750 0.750
Mg 0.500 0.500 0.500
Ta 0.000 0.000 0.000
Pd 0.250 0.250 0.250

# 4
VASP calculation (PBE-GGA) on Ag2P after structural relaxation.

Calculated values
- symmetry = No. 227
- final energy (eV per atom) = -3.05

abc: 7.695 7.695 7.695
angles: 60.00 60.00 60.00
Atoms (fractional coordinates):
Ag 0.375 0.375 0.875
Ag 0.375 0.375 0.375
Ag 0.875 0.375 0.375
Ag 0.375 0.875 0.375
P 0.500 0.500 0.500
P 0.250 0.250 0.250

- The highest final energy belongs to which entry?
  Ag2P

- What is the formula in the third record?
  MgTaCuPd